[1]
{"formula": "Mg2Ir", "functional": "PBEsol", "state": "relaxed", "cell": [[-1.503, 1.901, 4.225], [1.503, -1.901, 4.225], [1.503, 1.901, -4.225]], "species": ["Mg", "Mg", "Ir"], "fractional_positions": [[0.156, 0.156, 0.000], [0.844, 0.844, 0.000], [0.500, 0.500, 0.000]], "magmom_total_mub_per_fu": 0.00, "final_energy_ev_per_atom": -4.663, "sg": "No. 71"}

---

[2]
{"formula": "YIr3", "functional": "PBEsol", "state": "relaxed", "cell": [[2.625, 1.515, 8.673], [-2.625, 1.515, 8.673], [0.000, -3.031, 8.673]], "species": ["Y", "Y", "Y", "Ir", "Ir", "Ir", "Ir", "Ir", "Ir", "Ir", "Ir", "Ir"], "fractional_positions": [[0.000, 0.000, 0.000], [0.139, 0.139, 0.139], [0.861, 0.861, 0.861], [0.083, 0.582, 0.582], [0.333, 0.333, 0.333], [0.418, 0.418, 0.917], [0.418, 0.917, 0.418], [0.500, 0.500, 0.500], [0.582, 0.083, 0.582], [0.582, 0.582, 0.083], [0.667, 0.667, 0.667], [0.917, 0.418, 0.418]], "magmom_total_mub_per_fu": 0.00, "final_energy_ev_per_atom": -9.633, "sg": "No. 166"}

---

[3]
{"formula": "NaCO3", "functional": "PBEsol", "state": "relaxed", "cell": [[3.556, 0.000, 0.000], [0.000, 9.053, 0.000], [-2.647, 0.000, 8.031]], "species": ["Na", "Na", "Na", "Na", "C", "C", "C", "C", "O", "O", "O", "O", "O", "O", "O", "O", "O", "O", "O", "O"], "fractional_positions": [[0.073, 0.003, 0.297], [0.073, 0.497, 0.797], [0.927, 0.503, 0.203], [0.927, 0.997, 0.703], [0.304, 0.227, 0.055], [0.304, 0.273, 0.555], [0.696, 0.727, 0.445], [0.696, 0.773, 0.945], [0.091, 0.164, 0.923], [0.091, 0.336, 0.423], [0.326, 0.133, 0.566], [0.326, 0.367, 0.066], [0.488, 0.143, 0.177], [0.488, 0.357, 0.677], [0.512, 0.643, 0.323], [0.512, 0.857, 0.823], [0.674, 0.633, 0.934], [0.674, 0.867, 0.434], [0.909, 0.664, 0.577], [0.909, 0.836, 0.077]], "raw_formation_energy_ev_per_atom": -1.340, "magmom_total_mub_per_fu": 1.00, "final_energy_ev_per_atom": -6.698, "sg": "No. 14"}

---

[4]
{"formula": "Mg2RePb", "functional": "PBEsol", "state": "relaxed", "cell": [[1.803, -2.326, 0.000], [1.803, 2.326, 0.000], [0.000, 0.000, 9.512]], "species": ["Mg", "Mg", "Re", "Pb"], "fractional_positions": [[0.000, 0.000, 0.213], [0.000, 0.000, 0.787], [0.500, 0.500, 0.000], [0.500, 0.500, 0.500]], "magmom_total_mub_per_fu": 0.00, "final_energy_ev_per_atom": -4.772, "sg": "No. 65"}

---

[5]
{"formula": "LaSc2", "functional": "PBEsol", "state": "relaxed", "cell": [[5.342, 0.000, 0.000], [-2.671, 4.626, 0.000], [0.000, 0.000, 3.269]], "species": ["La", "Sc", "Sc"], "fractional_positions": [[0.000, 0.000, 0.000], [0.333, 0.667, 0.500], [0.667, 0.333, 0.500]], "e_above_lowest_polymorph_ev_per_atom": 0.0322, "magmom_total_mub_per_fu": 0.00, "final_energy_ev_per_atom": -6.097, "sg": "No. 191"}

---

[6]
{"formula": "Be2Nb2Al", "functional": "PBEsol", "state": "relaxed", "cell": [[6.142, 0.000, 0.000], [0.000, 6.142, 0.000], [0.000, 0.000, 3.521]], "species": ["Be", "Be", "Be", "Be", "Nb", "Nb", "Nb", "Nb", "Al", "Al"], "fractional_positions": [[0.118, 0.382, 0.000], [0.382, 0.882, 0.000], [0.618, 0.118, 0.000], [0.882, 0.618, 0.000], [0.177, 0.677, 0.500], [0.323, 0.177, 0.500], [0.677, 0.823, 0.500], [0.823, 0.323, 0.500], [0.000, 0.000, 0.000], [0.500, 0.500, 0.000]], "magmom_total_mub_per_fu": 0.00, "final_energy_ev_per_atom": -6.990, "sg": "No. 127"}

---

[7]
{"formula": "BaTl3In", "functional": "PBEsol", "state": "relaxed", "cell": [[5.660, 0.000, 0.000], [0.000, 5.660, 0.000], [0.000, 0.000, 5.660]], "species": ["Ba", "Tl", "Tl", "Tl", "In"], "fractional_positions": [[0.000, 0.000, 0.000], [0.000, 0.500, 0.500], [0.500, 0.000, 0.500], [0.500, 0.500, 0.000], [0.500, 0.500, 0.500]], "e_above_lowest_polymorph_ev_per_atom": 0.0000, "magmom_total_mub_per_fu": 0.00, "final_energy_ev_per_atom": -2.582, "sg": "No. 221"}

---

[8]
{"formula": "Zn2FeTc", "functional": "PBEsol", "state": "relaxed", "cell": [[2.735, 0.000, 0.000], [0.000, 2.735, 0.000], [0.000, 0.000, 6.736]], "species": ["Zn", "Zn", "Fe", "Tc"], "fractional_positions": [[0.000, 0.000, 0.000], [0.500, 0.500, 0.265], [0.000, 0.000, 0.502], [0.500, 0.500, 0.723]], "e_above_lowest_polymorph_ev_per_atom": 0.0000, "magmom_total_mub_per_fu": 0.06, "final_energy_ev_per_atom": -5.868, "sg": "No. 99"}

---

[9]
{"formula": "FeCo2", "functional": "PBEsol", "state": "relaxed", "cell": [[2.420, 0.000, 0.000], [0.000, 3.978, 0.000], [-0.313, 0.000, 6.664]], "species": ["Fe", "Fe", "Co", "Co", "Co", "Co"], "fractional_positions": [[0.189, 0.250, 0.081], [0.811, 0.750, 0.919], [0.067, 0.750, 0.585], [0.498, 0.250, 0.740], [0.502, 0.750, 0.260], [0.933, 0.250, 0.415]], "magmom_total_mub_per_fu": 5.81, "final_energy_ev_per_atom": -8.094, "sg": "No. 11"}

---

[10]
{"formula": "Zr2Si2Au", "functional": "PBEsol", "state": "relaxed", "cell": [[6.604, 0.000, 0.000], [0.000, 6.604, 0.000], [0.000, 0.000, 3.886]], "species": ["Zr", "Zr", "Zr", "Zr", "Si", "Si", "Si", "Si", "Au", "Au"], "fractional_positions": [[0.176, 0.324, 0.000], [0.324, 0.824, 0.000], [0.676, 0.176, 0.000], [0.824, 0.676, 0.000], [0.124, 0.624, 0.500], [0.376, 0.124, 0.500], [0.624, 0.876, 0.500], [0.876, 0.376, 0.500], [0.000, 0.000, 0.500], [0.500, 0.500, 0.500]], "raw_formation_energy_ev_per_atom": -0.840, "magmom_total_mub_per_fu": 0.00, "final_energy_ev_per_atom": -7.560, "sg": "No. 127"}

---

[11]
{"formula": "RuIN2", "functional": "PBEsol", "state": "relaxed", "cell": [[0.000, 4.163, 4.163], [4.163, 0.000, 4.163], [4.163, 4.163, 0.000]], "species": ["Ru", "Ru", "I", "I", "N", "N", "N", "N"], "fractional_positions": [[0.125, 0.125, 0.125], [0.875, 0.875, 0.875], [0.375, 0.375, 0.375], [0.625, 0.625, 0.625], [0.000, 0.000, 0.000], [0.000, 0.000, 0.500], [0.000, 0.500, 0.000], [0.500, 0.000, 0.000]], "raw_formation_energy_ev_per_atom": 0.690, "magmom_total_mub_per_fu": 0.00, "final_energy_ev_per_atom": -6.558, "sg": "No. 227"}

---

[12]
{"formula": "Li2Si3NiO8", "functional": "PBEsol", "state": "relaxed", "cell": [[4.824, 0.000, 0.000], [0.000, 9.811, 0.000], [-0.035, 0.000, 6.813]], "species": ["Li", "Li", "Li", "Li", "Si", "Si", "Si", "Si", "Si", "Si", "Ni", "Ni", "O", "O", "O", "O", "O", "O", "O", "O", "O", "O", "O", "O", "O", "O", "O", "O"], "fractional_positions": [[0.067, 0.000, 0.256], [0.422, 0.289, 0.274], [0.578, 0.789, 0.726], [0.933, 0.500, 0.744], [0.051, 0.717, 0.466], [0.408, 0.543, 0.026], [0.442, 0.302, 0.777], [0.558, 0.802, 0.223], [0.592, 0.043, 0.974], [0.949, 0.217, 0.534], [0.065, 0.959, 0.762], [0.935, 0.459, 0.238], [0.012, 0.057, 0.522], [0.027, 0.279, 0.323], [0.076, 0.537, 0.999], [0.114, 0.300, 0.715], [0.381, 0.753, 0.414], [0.466, 0.961, 0.174], [0.470, 0.966, 0.785], [0.490, 0.206, 0.974], [0.510, 0.706, 0.026], [0.530, 0.466, 0.215], [0.534, 0.461, 0.826], [0.619, 0.253, 0.586], [0.886, 0.800, 0.285], [0.924, 0.037, 0.001], [0.973, 0.779, 0.677], [0.988, 0.557, 0.478]], "e_above_lowest_polymorph_ev_per_atom": 0.0941, "raw_formation_energy_ev_per_atom": -2.273, "magmom_total_mub_per_fu": 2.00, "final_energy_ev_per_atom": -7.225, "sg": "No. 4"}

---

Question: Which formula does entry 12 have?
Answer: Li2Si3NiO8

---

Question: Number 8 is which compound?
Answer: Zn2FeTc

---

Copy entry 4 word for word.
{"formula": "Mg2RePb", "functional": "PBEsol", "state": "relaxed", "cell": [[1.803, -2.326, 0.000], [1.803, 2.326, 0.000], [0.000, 0.000, 9.512]], "species": ["Mg", "Mg", "Re", "Pb"], "fractional_positions": [[0.000, 0.000, 0.213], [0.000, 0.000, 0.787], [0.500, 0.500, 0.000], [0.500, 0.500, 0.500]], "magmom_total_mub_per_fu": 0.00, "final_energy_ev_per_atom": -4.772, "sg": "No. 65"}